P) # ZnTePbN2 (PBE, relaxed)
# M_tot: 2.81 μB per formula unit
# mass density: 5.8 g/cm³
# Fermi-level density of states: 2.5 states/eV per cell
data_ZnTePbN2
_cell_length_a 4.398
_cell_length_b 4.398
_cell_length_c 6.384
_cell_angle_alpha 90.00
_cell_angle_beta 90.00
_cell_angle_gamma 90.00
_symmetry_space_group_name_H-M 'P 1'
_symmetry_Int_Tables_number 1
loop_
_symmetry_equiv_pos_as_xyz
'x,y,z'
loop_
_atom_site_label
_atom_site_type_symbol
_atom_site_fract_x
_atom_site_fract_y
_atom_site_fract_z
N1 N 0.500 0.000 0.000
Pb1 Pb 0.000 0.000 0.000
Te1 Te 0.000 0.000 0.500
N2 N 0.000 0.500 0.000
Zn1 Zn 0.500 0.500 0.500


Q) # ZnTePbN2 (PBE, relaxed)
# M_tot: 3.81 μB per formula unit
# mass density: 6.9 g/cm³
# Fermi-level density of states: 1.8 states/eV per cell
data_ZnTePbN2
_cell_length_a 4.313
_cell_length_b 4.313
_cell_length_c 5.561
_cell_angle_alpha 90.00
_cell_angle_beta 90.00
_cell_angle_gamma 90.00
_symmetry_space_group_name_H-M 'P 1'
_symmetry_Int_Tables_number 1
loop_
_symmetry_equiv_pos_as_xyz
'x,y,z'
loop_
_atom_site_label
_atom_site_type_symbol
_atom_site_fract_x
_atom_site_fract_y
_atom_site_fract_z
Te1 Te 0.000 0.000 0.500
N1 N 0.000 0.500 0.000
Pb1 Pb 0.500 0.500 0.500
Zn1 Zn 0.000 0.000 0.000
N2 N 0.500 0.000 0.000


Ranked by calculated energy, most stable first: Q), P).


P) # ZrTe2PbN (PBE, relaxed)
# M_tot: 0.00 μB per formula unit
# mass density: 6.7 g/cm³
# Fermi-level density of states: 4.3 states/eV per cell
data_ZrTe2PbN
_cell_length_a 5.863
_cell_length_b 5.863
_cell_length_c 4.064
_cell_angle_alpha 90.00
_cell_angle_beta 90.00
_cell_angle_gamma 90.00
_symmetry_space_group_name_H-M 'P 1'
_symmetry_Int_Tables_number 1
loop_
_symmetry_equiv_pos_as_xyz
'x,y,z'
loop_
_atom_site_label
_atom_site_type_symbol
_atom_site_fract_x
_atom_site_fract_y
_atom_site_fract_z
Zr1 Zr 0.000 0.000 0.000
Te1 Te 0.500 0.000 0.000
N1 N 0.000 0.000 0.500
Te2 Te 0.000 0.500 0.000
Pb1 Pb 0.500 0.500 0.500


Q) # ZrTe2PbN (PBE, relaxed)
# M_tot: 1.80 μB per formula unit
# mass density: 6.7 g/cm³
# Fermi-level density of states: 6.0 states/eV per cell
data_ZrTe2PbN
_cell_length_a 5.841
_cell_length_b 5.841
_cell_length_c 4.116
_cell_angle_alpha 90.00
_cell_angle_beta 90.00
_cell_angle_gamma 90.00
_symmetry_space_group_name_H-M 'P 1'
_symmetry_Int_Tables_number 1
loop_
_symmetry_equiv_pos_as_xyz
'x,y,z'
loop_
_atom_site_label
_atom_site_type_symbol
_atom_site_fract_x
_atom_site_fract_y
_atom_site_fract_z
Pb1 Pb 0.000 0.000 0.000
Te1 Te 0.500 0.000 0.000
N1 N 0.000 0.000 0.500
Te2 Te 0.000 0.500 0.000
Zr1 Zr 0.500 0.500 0.500


Ranked by calculated energy, most stable first: P), Q).


P) # ThPbN (PBE, relaxed)
# M_tot: 0.00 μB per formula unit
# mass density: 10.4 g/cm³
# Fermi-level density of states: 1.8 states/eV per cell
data_ThPbN
_cell_length_a 4.175
_cell_length_b 4.175
_cell_length_c 8.326
_cell_angle_alpha 90.00
_cell_angle_beta 90.00
_cell_angle_gamma 90.00
_symmetry_space_group_name_H-M 'P 1'
_symmetry_Int_Tables_number 1
loop_
_symmetry_equiv_pos_as_xyz
'x,y,z'
loop_
_atom_site_label
_atom_site_type_symbol
_atom_site_fract_x
_atom_site_fract_y
_atom_site_fract_z
N1 N 0.500 0.500 0.000
Th1 Th 0.000 0.500 0.868
Pb1 Pb 0.000 0.500 0.418
N2 N 0.000 0.000 0.000
Th2 Th 0.500 0.000 0.132
Pb2 Pb 0.500 0.000 0.582


Q) # ThPbN (PBE, relaxed)
# M_tot: 0.00 μB per formula unit
# mass density: 9.8 g/cm³
# Fermi-level density of states: 1.7 states/eV per cell
data_ThPbN
_cell_length_a 3.371
_cell_length_b 3.371
_cell_length_c 7.133
_cell_angle_alpha 103.67
_cell_angle_beta 103.67
_cell_angle_gamma 90.00
_symmetry_space_group_name_H-M 'P 1'
_symmetry_Int_Tables_number 1
loop_
_symmetry_equiv_pos_as_xyz
'x,y,z'
loop_
_atom_site_label
_atom_site_type_symbol
_atom_site_fract_x
_atom_site_fract_y
_atom_site_fract_z
Pb1 Pb 0.005 0.005 0.010
Th1 Th 0.732 0.732 0.465
N1 N 0.263 0.263 0.526


Ranked by calculated energy, most stable first: P), Q).


P) # Ti6Pb2N (PBE, relaxed)
# M_tot: 0.00 μB per formula unit
# mass density: 7.9 g/cm³
# Fermi-level density of states: 7.1 states/eV per cell
data_Ti6Pb2N
_cell_length_a 5.965
_cell_length_b 5.965
_cell_length_c 5.967
_cell_angle_alpha 59.99
_cell_angle_beta 59.99
_cell_angle_gamma 60.02
_symmetry_space_group_name_H-M 'P 1'
_symmetry_Int_Tables_number 1
loop_
_symmetry_equiv_pos_as_xyz
'x,y,z'
loop_
_atom_site_label
_atom_site_type_symbol
_atom_site_fract_x
_atom_site_fract_y
_atom_site_fract_z
Ti1 Ti 0.245 0.245 0.754
Ti2 Ti 0.754 0.245 0.246
Ti3 Ti 0.245 0.754 0.246
Ti4 Ti 0.246 0.755 0.754
N1 N 0.500 0.500 0.500
Ti5 Ti 0.755 0.755 0.246
Pb1 Pb 0.250 0.250 0.250
Pb2 Pb 0.750 0.750 0.750
Ti6 Ti 0.755 0.246 0.754


Q) # Ti6Pb2N (PBE, relaxed)
# M_tot: 0.00 μB per formula unit
# mass density: 7.8 g/cm³
# Fermi-level density of states: 7.8 states/eV per cell
data_Ti6Pb2N
_cell_length_a 3.292
_cell_length_b 7.310
_cell_length_c 7.310
_cell_angle_alpha 120.00
_cell_angle_beta 90.00
_cell_angle_gamma 90.00
_symmetry_space_group_name_H-M 'P 1'
_symmetry_Int_Tables_number 1
loop_
_symmetry_equiv_pos_as_xyz
'x,y,z'
loop_
_atom_site_label
_atom_site_type_symbol
_atom_site_fract_x
_atom_site_fract_y
_atom_site_fract_z
Ti1 Ti 0.000 0.781 0.781
Pb1 Pb 0.000 0.667 0.333
Ti2 Ti 0.000 0.219 0.000
Pb2 Pb 0.000 0.333 0.667
Ti3 Ti 0.500 0.658 0.000
N1 N 0.500 0.000 0.000
Ti4 Ti 0.500 0.342 0.342
Ti5 Ti 0.000 0.000 0.219
Ti6 Ti 0.500 0.000 0.658


Ranked by calculated energy, most stable first: P), Q).


P) # Ti8Pb2N (PBE, relaxed)
# M_tot: 0.01 μB per formula unit
# mass density: 7.3 g/cm³
# Fermi-level density of states: 14.5 states/eV per cell
data_Ti8Pb2N
_cell_length_a 3.973
_cell_length_b 3.973
_cell_length_c 11.657
_cell_angle_alpha 90.00
_cell_angle_beta 90.00
_cell_angle_gamma 90.00
_symmetry_space_group_name_H-M 'P 1'
_symmetry_Int_Tables_number 1
loop_
_symmetry_equiv_pos_as_xyz
'x,y,z'
loop_
_atom_site_label
_atom_site_type_symbol
_atom_site_fract_x
_atom_site_fract_y
_atom_site_fract_z
Ti1 Ti 0.500 0.000 0.500
Ti2 Ti 0.000 0.500 0.890
Ti3 Ti 0.500 0.500 0.706
Ti4 Ti 0.000 0.500 0.110
Pb1 Pb 0.000 0.000 0.306
N1 N 0.000 0.000 0.000
Pb2 Pb 0.000 0.000 0.694
Ti5 Ti 0.500 0.500 0.294
Ti6 Ti 0.500 0.000 0.110
Ti7 Ti 0.000 0.500 0.500
Ti8 Ti 0.500 0.000 0.890


Q) # Ti8Pb2N (PBE, relaxed)
# M_tot: 0.01 μB per formula unit
# mass density: 7.1 g/cm³
# Fermi-level density of states: 11.3 states/eV per cell
data_Ti8Pb2N
_cell_length_a 4.606
_cell_length_b 5.640
_cell_length_c 8.343
_cell_angle_alpha 114.18
_cell_angle_beta 106.02
_cell_angle_gamma 90.00
_symmetry_space_group_name_H-M 'P 1'
_symmetry_Int_Tables_number 1
loop_
_symmetry_equiv_pos_as_xyz
'x,y,z'
loop_
_atom_site_label
_atom_site_type_symbol
_atom_site_fract_x
_atom_site_fract_y
_atom_site_fract_z
Pb1 Pb 0.175 0.744 0.350
Ti1 Ti 0.997 0.228 0.993
Ti2 Ti 0.786 0.691 0.573
Ti3 Ti 0.214 0.309 0.427
Ti4 Ti 0.380 0.012 0.760
Ti5 Ti 0.427 0.582 0.854
Ti6 Ti 0.620 0.988 0.240
N1 N 0.500 0.000 0.000
Pb2 Pb 0.825 0.256 0.650
Ti7 Ti 0.573 0.418 0.146
Ti8 Ti 0.003 0.772 0.007


Ranked by calculated energy, most stable first: Q), P).


P) # Ti5PbN (PBE, relaxed)
# M_tot: 0.00 μB per formula unit
# mass density: 6.9 g/cm³
# Fermi-level density of states: 9.3 states/eV per cell
data_Ti5PbN
_cell_length_a 5.584
_cell_length_b 5.584
_cell_length_c 9.152
_cell_angle_alpha 65.80
_cell_angle_beta 65.80
_cell_angle_gamma 62.81
_symmetry_space_group_name_H-M 'P 1'
_symmetry_Int_Tables_number 1
loop_
_symmetry_equiv_pos_as_xyz
'x,y,z'
loop_
_atom_site_label
_atom_site_type_symbol
_atom_site_fract_x
_atom_site_fract_y
_atom_site_fract_z
Ti1 Ti 0.417 0.926 0.914
Ti2 Ti 0.000 0.000 0.750
Ti3 Ti 0.582 0.074 0.586
Pb1 Pb 0.500 0.500 0.750
Ti4 Ti 0.926 0.418 0.914
N1 N 0.000 0.000 0.500
Ti5 Ti 0.583 0.074 0.086
Ti6 Ti 0.000 0.000 0.250
Ti7 Ti 0.074 0.583 0.586
N2 N 0.000 0.000 0.000
Ti8 Ti 0.418 0.926 0.414
Pb2 Pb 0.500 0.500 0.250
Ti9 Ti 0.074 0.582 0.086
Ti10 Ti 0.926 0.417 0.414


Q) # Ti5PbN (PBE, relaxed)
# M_tot: 0.00 μB per formula unit
# mass density: 7.0 g/cm³
# Fermi-level density of states: 7.0 states/eV per cell
data_Ti5PbN
_cell_length_a 3.917
_cell_length_b 3.917
_cell_length_c 7.119
_cell_angle_alpha 90.00
_cell_angle_beta 90.00
_cell_angle_gamma 90.00
_symmetry_space_group_name_H-M 'P 1'
_symmetry_Int_Tables_number 1
loop_
_symmetry_equiv_pos_as_xyz
'x,y,z'
loop_
_atom_site_label
_atom_site_type_symbol
_atom_site_fract_x
_atom_site_fract_y
_atom_site_fract_z
Ti1 Ti 0.500 0.000 0.319
Pb1 Pb 0.000 0.000 0.000
Ti2 Ti 0.500 0.500 0.000
Ti3 Ti 0.000 0.500 0.681
N1 N 0.000 0.000 0.500
Ti4 Ti 0.500 0.000 0.681
Ti5 Ti 0.000 0.500 0.319


Ranked by calculated energy, most stable first: P), Q).